(1)
8
Lattice="-0.898 -3.752 1.615 1.825 1.111 3.596 -7.261 2.934 2.779" Properties=species:S:1:pos:R:3 comment="PrDyPd6 | the Alexandria database | GGA-PBE | relaxed" vol_a3_per_cell=145.4 formation_enthalpy_0k_mev_per_atom=-805 pbc="T T T"
Pr 0.000 0.000 0.000
Dy -3.631 1.467 1.389
Pd 0.463 -1.321 2.605
Pd -3.167 0.146 3.995
Pd -2.319 -1.121 1.523
Pd -5.840 0.302 2.870
Pd -0.957 1.311 2.514
Pd -4.479 2.734 3.861


(2)
10
Lattice="-3.540 1.516 0.473 -1.920 -2.157 -7.449 -2.647 -7.031 2.718" Properties=species:S:1:pos:R:3 comment="PrDy2Pd2 | the Alexandria database | GGA-PBE | relaxed" vol_a3_per_cell=247.7 formation_enthalpy_0k_mev_per_atom=-674 e_above_lowest_polymorph_kj_per_mol_fu=0 pbc="T T T"
Pr -2.730 -0.321 -3.488
Pr -3.094 -2.758 1.596
Dy -2.165 -3.800 -4.022
Dy -3.823 -7.691 -3.961
Dy -0.744 -1.497 -0.771
Dy -2.402 -5.388 -0.709
Pd -3.469 -2.660 -1.523
Pd -3.783 -2.023 -5.911
Pd -4.324 -5.649 1.653
Pd -4.638 -5.012 -2.735


(3)
20
Lattice="-6.059 -3.624 1.604 4.045 -3.764 6.776 -3.094 7.026 4.183" Properties=species:S:1:pos:R:3 comment="PrDy6Pd3 | the Alexandria database | GGA-PBE | relaxed" vol_a3_per_cell=548.0 formation_enthalpy_0k_mev_per_atom=-497 pbc="T T T"
Pr -1.073 3.499 5.057
Pr -1.453 -2.316 6.821
Dy -0.097 1.144 7.718
Dy -3.698 0.197 8.312
Dy -2.575 3.432 8.487
Dy -2.865 -2.521 10.284
Dy -3.869 6.096 4.527
Dy -4.581 2.639 5.618
Dy 2.271 -1.327 6.204
Dy -0.202 -5.837 7.761
Dy -3.094 1.651 2.504
Dy -3.384 -4.302 4.300
Dy -0.420 0.034 3.988
Dy -4.022 -0.913 4.582
Pd -1.256 -0.093 9.902
Pd -5.739 0.290 10.177
Pd -2.335 1.033 5.901
Pd -4.338 -2.330 7.076
Pd -6.333 -1.752 3.317
Pd -1.851 -2.135 3.042


(4)
4
Lattice="-2.101 -2.446 1.386 2.792 -2.019 0.669 0.699 3.173 6.661" Properties=species:S:1:pos:R:3 comment="PrDyPd2 | the Alexandria database | GGA-PBE | relaxed" vol_a3_per_cell=91.3 formation_enthalpy_0k_mev_per_atom=-795 e_above_lowest_polymorph_kj_per_mol_fu=18 pbc="T T T"
Pr 0.695 -0.646 4.358
Pd 0.542 2.458 5.158
Pd 0.158 0.716 1.502
Dy 0.345 -2.232 1.027


(5)
6
Lattice="-1.514 -4.825 0.570 4.882 0.204 -1.422 1.756 0.164 6.051" Properties=species:S:1:pos:R:3 comment="PrDyPd | the Alexandria database | GGA-PBE | relaxed" vol_a3_per_cell=152.6 formation_enthalpy_0k_mev_per_atom=-29 e_above_lowest_polymorph_kj_per_mol_fu=152 pbc="T T T"
Pr 2.076 -2.915 4.400
Pr 3.048 -1.542 0.798
Dy 4.431 -1.063 3.666
Dy 0.692 -3.394 1.532
Pd 0.000 0.000 0.000
Pd 0.878 0.082 3.025


(6)
12
Lattice="-3.198 -0.762 -2.556 -0.058 -3.969 1.256 -7.959 2.987 9.068" Properties=species:S:1:pos:R:3 comment="PrDy2Pd9 | the Alexandria database | GGA-PBE | relaxed" vol_a3_per_cell=215.5 formation_enthalpy_0k_mev_per_atom=-827 pbc="T T T"
Pr 0.000 0.000 0.000
Dy -2.683 1.007 3.057
Dy -5.276 1.980 6.011
Pd -1.628 -2.366 -0.650
Pd -4.297 -1.364 2.391
Pd -6.918 -0.380 5.377
Pd -2.975 0.136 0.290
Pd -5.578 1.113 3.256
Pd -8.182 2.089 6.222
Pd -1.405 -1.468 2.196
Pd -4.009 -0.491 5.162
Pd -6.612 0.486 8.128


(7)
16
Lattice="-0.309 3.950 -1.210 -3.898 0.123 1.398 5.497 4.990 14.892" Properties=species:S:1:pos:R:3 comment="PrDy3Pd12 | the Alexandria database | GGA-PBE | relaxed" vol_a3_per_cell=285.6 formation_enthalpy_0k_mev_per_atom=-843 pbc="T T T"
Pr 0.000 0.000 0.000
Dy 1.395 1.266 3.779
Dy 2.749 2.495 7.446
Dy 4.102 3.724 11.114
Pd -2.103 2.037 0.094
Pd -0.714 3.298 3.859
Pd 0.645 4.532 7.540
Pd 2.004 5.766 11.222
Pd 0.561 2.625 1.334
Pd 1.915 3.854 5.001
Pd 3.273 5.087 8.681
Pd 4.627 6.316 12.348
Pd -1.233 0.711 2.638
Pd 0.120 1.940 6.305
Pd 1.479 3.173 9.985
Pd 2.832 4.402 13.652


(8)
4
Lattice="-3.414 -1.106 -2.163 -3.526 -1.012 2.025 -4.261 5.690 -0.242" Properties=species:S:1:pos:R:3 comment="PrDyPd2 | the Alexandria database | GGA-PBE | relaxed" vol_a3_per_cell=101.7 formation_enthalpy_0k_mev_per_atom=-702 e_above_lowest_polymorph_kj_per_mol_fu=54 pbc="T T T"
Pr -5.600 1.786 -0.190
Pd -8.434 2.789 -0.288
Pd -2.767 0.784 -0.092
Dy 0.000 0.000 0.000


(9)
12
Lattice="-5.415 2.076 2.818 -4.277 -0.955 -7.515 0.704 -5.133 5.135" Properties=species:S:1:pos:R:3 comment="PrDyPd | the Alexandria database | GGA-PBE | relaxed" vol_a3_per_cell=333.8 formation_enthalpy_0k_mev_per_atom=-553 e_above_lowest_polymorph_kj_per_mol_fu=0 pbc="T T T"
Pr -2.013 -3.343 3.981
Pr -6.975 -0.669 -3.543
Pr -5.731 -2.280 3.431
Pr -3.257 -1.732 -2.993
Dy -5.335 0.897 1.502
Dy -6.131 -2.527 -0.204
Dy -3.652 -4.908 -1.063
Dy -2.857 -1.485 0.642
Pd -3.816 -3.952 1.549
Pd -5.172 -0.059 -1.111
Pd -0.355 -1.550 1.868
Pd -8.633 -2.461 -1.429


(10)
5
Lattice="0.139 -0.211 -4.689 4.571 -1.056 0.190 -3.789 -5.146 2.551" Properties=species:S:1:pos:R:3 comment="PrDy2Pd2 | the Alexandria database | GGA-PBE | relaxed" vol_a3_per_cell=131.4 formation_enthalpy_0k_mev_per_atom=-555 e_above_lowest_polymorph_kj_per_mol_fu=58 pbc="T T T"
Pr 0.000 0.000 0.000
Dy 1.571 -3.418 0.249
Dy -0.650 -2.995 -2.196
Pd 2.010 -1.917 -2.158
Pd -1.089 -4.497 0.210


(11)
7
Lattice="4.969 -0.842 -1.126 -1.222 4.889 -1.126 0.099 0.107 8.238" Properties=species:S:1:pos:R:3 comment="Pr2DyPd4 | the Alexandria database | GGA-PBE | relaxed" vol_a3_per_cell=193.1 formation_enthalpy_0k_mev_per_atom=-295 pbc="T T T"
Pr 2.411 2.604 0.809
Pr 1.436 1.551 5.176
Dy 0.000 0.000 0.000
Pd 3.146 3.399 3.461
Pd 0.700 0.756 2.524
Pd -0.611 2.445 -0.563
Pd 2.484 -0.421 -0.563


(12)
6
Lattice="3.612 0.007 -0.001 -0.013 7.307 0.030 -1.805 -1.907 6.181" Properties=species:S:1:pos:R:3 comment="PrDyPd | the Alexandria database | GGA-PBE | relaxed" vol_a3_per_cell=163.3 formation_enthalpy_0k_mev_per_atom=-495 e_above_lowest_polymorph_kj_per_mol_fu=17 pbc="T T T"
Pr 0.418 2.833 2.285
Pr 0.412 2.780 5.713
Dy 0.422 -0.875 5.679
Dy 0.408 6.489 2.319
Pd 2.224 0.767 4.041
Pd 2.217 4.854 3.957